[1]
Density functional theory data (PBE) for crystalline Mg6SnHg2 at its relaxed geometry.

For the energy relative to the lowest polymorph listed for this composition, the calculation gives 0.0 meV per atom. For the formation energy, the calculation gives -166 meV/atom.

It has space group P-62m (No. 189), with a = 7.7688 Å, b = 7.7688 Å, c = 3.9434 Å, α = 90.00°, β = 90.00° and γ = 120.00°. The inequivalent atoms are Mg at (0.0000, 0.3970, 0.0000), Mg at (0.0000, 0.7242, 0.5000), Sn at (0.0000, 0.0000, 0.0000) and Hg at (0.3333, 0.6667, 0.5000).


[2]
Density functional theory data (PBE) for crystalline Mg3SnHg at its relaxed geometry.

For the energy relative to the lowest polymorph listed for this composition, the calculation gives 303.1 meV per atom. For the formation energy, the calculation gives 161 meV/atom.

It has space group Pm-3m (No. 221), with a = 5.202 Å, b = 5.202 Å, c = 5.202 Å, α = 90.00°, β = 90.00° and γ = 90.00°. The inequivalent atoms are Mg at (0.000, 0.000, 0.500), Sn at (0.500, 0.500, 0.500) and Hg at (0.000, 0.000, 0.000).


[3]
Density functional theory data (PBE) for crystalline Mg2Sn2Hg5 at its relaxed geometry.

For the formation energy, the calculation gives -27 meV/atom.

It has space group P-1 (No. 2), with a = 4.885 Å, b = 5.715 Å, c = 8.548 Å, α = 78.08°, β = 83.64° and γ = 85.47°. The inequivalent atoms are Mg at (0.181, 0.482, 0.151), Sn at (0.394, 0.801, 0.632), Hg at (0.000, 0.500, 0.500), Hg at (0.124, 0.962, 0.248) and Hg at (0.340, 0.241, 0.884).


[4]
Density functional theory data (PBE) for crystalline Mg8Sn2Hg3 at its relaxed geometry.

For the energy relative to the lowest polymorph listed for this composition, the calculation gives 122.4 meV per atom. For the formation energy, the calculation gives -30 meV/atom.

It has space group R-3m (No. 166, hexagonal axes), with a = 6.0084 Å, b = 6.0084 Å, c = 30.8806 Å, α = 90.00°, β = 90.00° and γ = 120.00°. The inequivalent atoms are Mg at (0.0000, 0.0000, 0.2177), Mg at (0.9997, 0.4999, 0.2842), Sn at (0.0000, 0.0000, 0.1263), Hg at (0.0000, 0.0000, 0.3073) and Hg at (0.0000, 0.0000, 0.5000).


[5]
Density functional theory data (PBE) for crystalline MgSn2Hg2 at its relaxed geometry.

For the energy relative to the lowest polymorph listed for this composition, the calculation gives 84.1 meV per atom. For the formation energy, the calculation gives 36 meV/atom.

It has space group P4/mbm (No. 127), with a = 7.617 Å, b = 7.617 Å, c = 4.464 Å, α = 90.00°, β = 90.00° and γ = 90.00°. The inequivalent atoms are Mg at (0.000, 0.000, 0.000), Sn at (0.165, 0.335, 0.500) and Hg at (0.143, 0.643, 0.000).


[6]
Density functional theory data (PBE) for crystalline Mg12Sn5Hg2 at its relaxed geometry.

For the formation energy, the calculation gives -62 meV/atom.

It has space group C2/m (No. 12), with a = 16.384 Å, b = 6.375 Å, c = 9.824 Å, α = 90.00°, β = 104.14° and γ = 90.00°. The inequivalent atoms are Mg at (0.005, 0.000, 0.345), Mg at (0.082, 0.500, 0.269), Mg at (0.162, 0.251, 0.593), Mg at (0.185, 0.253, 0.101), Sn at (0.000, 0.500, 0.500), Sn at (0.159, 0.000, 0.847), Sn at (0.181, 0.000, 0.348) and Hg at (0.000, 0.250, 0.000).


[7]
Density functional theory data (PBE) for crystalline Mg2SnHg6 at its relaxed geometry.

For the energy relative to the lowest polymorph listed for this composition, the calculation gives 0.0 meV per atom. For the formation energy, the calculation gives -55 meV/atom.

It has space group C2/c (No. 15), with a = 13.666 Å, b = 10.337 Å, c = 6.194 Å, α = 90.00°, β = 91.21° and γ = 90.00°. The inequivalent atoms are Mg at (0.165, 0.127, 0.406), Sn at (0.000, 0.380, 0.250), Hg at (0.056, 0.125, 0.988), Hg at (0.119, 0.359, 0.690) and Hg at (0.229, 0.375, 0.161).


[8]
Density functional theory data (PBE) for crystalline MgSnHg2 at its relaxed geometry.

For the formation energy, the calculation gives -66 meV/atom.

It has space group R-3m (No. 166, hexagonal axes), with a = 3.4524 Å, b = 3.4524 Å, c = 28.1143 Å, α = 90.00°, β = 90.00° and γ = 120.00°. The inequivalent atoms are Mg at (0.0000, 0.0000, 0.0000), Sn at (0.0000, 0.0000, 0.5000) and Hg at (0.0000, 0.0000, 0.2570).


[9]
Density functional theory data (PBE) for crystalline Mg5Sn2Hg2 at its relaxed geometry.

For the formation energy, the calculation gives -136 meV/atom.

It has space group Cmce (No. 64), with a = 14.896 Å, b = 7.555 Å, c = 7.673 Å, α = 90.00°, β = 90.00° and γ = 90.00°. The inequivalent atoms are Mg at (0.000, 0.000, 0.000), Mg at (0.134, 0.161, 0.337), Sn at (0.203, 0.000, 0.000) and Hg at (0.000, 0.142, 0.642).


[10]
Density functional theory data (PBE) for crystalline Mg4Sn2Hg3 at its relaxed geometry.

For the formation energy, the calculation gives -143 meV/atom.

It has space group P-1 (No. 2), with a = 4.979 Å, b = 4.983 Å, c = 10.407 Å, α = 76.46°, β = 76.46° and γ = 60.30°. The inequivalent atoms are Mg at (0.100, 0.091, 0.192), Mg at (0.301, 0.305, 0.598), Sn at (0.405, 0.398, 0.281), Hg at (0.000, 0.000, 0.500) and Hg at (0.201, 0.212, 0.906).


[11]
Density functional theory data (PBE) for crystalline Mg2SnHg at its relaxed geometry.

For the formation energy, the calculation gives -160 meV/atom.

It has space group P4/mmm (No. 123), with a = 4.684 Å, b = 4.684 Å, c = 4.135 Å, α = 90.00°, β = 90.00° and γ = 90.00°. The inequivalent atoms are Mg at (0.000, 0.500, 0.000), Sn at (0.000, 0.000, 0.500) and Hg at (0.500, 0.500, 0.500).


[12]
Density functional theory data (PBE) for crystalline Mg5Sn4Hg at its relaxed geometry.

For the formation energy, the calculation gives -152 meV/atom.

It has space group P4/mmm (No. 123), with a = 3.369 Å, b = 3.369 Å, c = 20.649 Å, α = 90.00°, β = 90.00° and γ = 90.00°. The inequivalent atoms are Mg at (0.000, 0.000, 0.000), Mg at (0.000, 0.000, 0.203), Mg at (0.000, 0.000, 0.410), Sn at (0.500, 0.500, 0.101), Sn at (0.500, 0.500, 0.307) and Hg at (0.500, 0.500, 0.500).


| no. | density of states at the Fermi level (states/eV per cell) |
| --- | --- |
| 1 | 2.9 |
| 2 | 2.5 |
| 3 | 2.1 |
| 4 | 17.1 |
| 5 | 4.8 |
| 6 | 10.3 |
| 7 | 7.8 |
| 8 | 4.1 |
| 9 | 9.5 |
| 10 | 1.9 |
| 11 | 0.9 |
| 12 | 3.2 |